Here is NaTlS after structural relaxation from Alexandria via LeMat-Bulk. Energies are from PBE.

Cell and atoms, written as POSCAR:
```
NaTlS
1.0
-2.476 2.354 1.298
-1.766 -2.755 1.628
5.356 0.960 3.330
Na Tl S
1 1 1
direct
0.324 0.324 0.647
0.582 0.582 0.164
0.944 0.944 0.888
```

Properties
The calculation puts the total magnetization at 0.0 μB/f.u. The calculation puts the relative energy among the computed polymorphs at 0.52 eV per formula unit. The calculated total energy is -3.132 eV per atom.


Here is NaTl2S after structural relaxation from Alexandria via LeMat-Bulk. Energies are from PBE.

Cell and atoms, written as POSCAR:
```
NaTl2S
1.0
-0.553 -3.605 1.769
-1.459 -3.110 -2.151
8.843 -4.945 -2.668
Na Tl S
1 2 1
direct
0.000 0.000 0.000
0.110 0.110 0.669
0.890 0.890 0.331
0.500 0.500 0.500
```

Properties
The calculation puts the total magnetization at 0.0 μB/f.u. The calculated total energy is -2.744 eV per atom.